# BeCdCu

A relaxed structure of BeCdCu (PBE, OQMD).

energy relative to the lowest polymorph listed for this composition	0	meV/atom

Lattice parameters (Å, degrees): 4.077 4.077 4.077 60.00 60.00 60.00
Atoms (fractional coordinates):
Cd: 0.750 0.750 0.750
Be: 0.250 0.250 0.250
Cu: 0.000 0.000 0.000